! PBE-GGA TmAlGaCu6, optimized geometry; values from VASP
&SYSTEM
  ibrav = 0, nat = 18, ntyp = 4
/
ATOMIC_SPECIES
Cu 63.55 Cu.upf
Tm 168.93 Tm.upf
Ga 69.72 Ga.upf
Al 26.98 Al.upf
CELL_PARAMETERS angstrom
-4.0017 5.3927 0.8648
-6.4729 -4.1484 -4.0839
3.7223 -2.4251 5.8422
ATOMIC_POSITIONS crystal
Cu 0.5770 0.8270 0.1540
Cu 0.9461 0.6228 0.2557
Cu 0.6904 0.3772 0.7443
Cu 0.0539 0.3772 0.7443
Cu 0.4230 0.1730 0.8460
Cu 0.0539 0.8671 0.7443
Cu 0.3096 0.6228 0.2557
Cu 0.9814 0.2314 0.9628
Cu 0.0186 0.7686 0.0372
Cu 0.9461 0.1329 0.2557
Cu 0.3096 0.1329 0.2557
Cu 0.6904 0.8671 0.7443
Tm 0.7144 0.4644 0.4288
Tm 0.2856 0.5356 0.5712
Ga 0.5000 0.0000 0.0000
Ga 0.5000 0.5000 0.0000
Al 0.0000 0.0000 0.5000
Al 0.5000 0.0000 0.5000
! Magnetization ... 0.0000 μB per atom
! Density of states at the Fermi level ... 3.287 states/eV/f.u.
! DFT total energy ... -3.92 eV per atom
! Calculated formation energy ... 0.06 eV/atom
! V ... 285.5 Å³ per cell